[1]
Below is a relaxed structure of CsAs2Ru2, with properties calculated at the PBE level.

Results
Formation energy ... -0.3 eV/f.u.

```
data_CsAs2Ru2
_cell_length_a 3.966
_cell_length_b 3.966
_cell_length_c 7.668
_cell_angle_alpha 90.00
_cell_angle_beta 90.00
_cell_angle_gamma 90.00
_space_group_name_H-M_alt 'P 4/m m m'
_space_group_IT_number 123
_space_group_name_Hall '-P 4 2'
loop_
_atom_site_label
_atom_site_type_symbol
_atom_site_fract_x
_atom_site_fract_y
_atom_site_fract_z
Cs1 Cs 0.000 0.000 0.000
As1 As 0.500 0.500 0.300
Ru1 Ru 0.000 0.500 0.500
```

[2]
Below is a relaxed structure of CsAsRu3, with properties calculated at the PBE level.

Results
Formation energy ... 14.4 eV/f.u.
ΔE to the lowest computed polymorph ... 1712 meV/atom

```
data_CsAsRu3
_cell_length_a 4.918
_cell_length_b 4.918
_cell_length_c 4.918
_cell_angle_alpha 90.00
_cell_angle_beta 90.00
_cell_angle_gamma 90.00
_space_group_name_H-M_alt 'P m -3 m'
_space_group_IT_number 221
_space_group_name_Hall '-P 4 2 3'
loop_
_atom_site_label
_atom_site_type_symbol
_atom_site_fract_x
_atom_site_fract_y
_atom_site_fract_z
Cs1 Cs 0.000 0.000 0.000
As1 As 0.500 0.500 0.500
Ru1 Ru 0.000 0.000 0.500
```

[3]
Below is a relaxed structure of Cs3AsRu, with properties calculated at the PBE level.

Results
Formation energy ... 4.2 eV/f.u.
ΔE to the lowest computed polymorph ... 0 meV/atom

```
data_Cs3AsRu
_cell_length_a 5.799
_cell_length_b 5.799
_cell_length_c 5.799
_cell_angle_alpha 90.00
_cell_angle_beta 90.00
_cell_angle_gamma 90.00
_space_group_name_H-M_alt 'P m -3 m'
_space_group_IT_number 221
_space_group_name_Hall '-P 4 2 3'
loop_
_atom_site_label
_atom_site_type_symbol
_atom_site_fract_x
_atom_site_fract_y
_atom_site_fract_z
Cs1 Cs 0.000 0.000 0.500
As1 As 0.500 0.500 0.500
Ru1 Ru 0.000 0.000 0.000
```

[4]
Below is a relaxed structure of CsAsRuSe2, with properties calculated at the PBE level.

Results
Raw formation energy ... 10.5 eV/f.u.

```
data_CsAsRuSe2
_cell_length_a 5.786
_cell_length_b 5.786
_cell_length_c 5.850
_cell_angle_alpha 90.00
_cell_angle_beta 90.00
_cell_angle_gamma 90.00
_space_group_name_H-M_alt 'P 4/m m m'
_space_group_IT_number 123
_space_group_name_Hall '-P 4 2'
loop_
_atom_site_label
_atom_site_type_symbol
_atom_site_fract_x
_atom_site_fract_y
_atom_site_fract_z
Cs1 Cs 0.000 0.000 0.000
As1 As 0.000 0.000 0.500
Ru1 Ru 0.500 0.500 0.500
Se1 Se 0.000 0.500 0.000
```

[5]
Below is a relaxed structure of CsAs2RuSe, with properties calculated at the PBE level.

Results
Raw formation energy ... 0.3 eV/f.u.

```
data_CsAs2RuSe
_cell_length_a 4.803
_cell_length_b 4.803
_cell_length_c 5.773
_cell_angle_alpha 90.00
_cell_angle_beta 90.00
_cell_angle_gamma 90.00
_space_group_name_H-M_alt 'P 4/m m m'
_space_group_IT_number 123
_space_group_name_Hall '-P 4 2'
loop_
_atom_site_label
_atom_site_type_symbol
_atom_site_fract_x
_atom_site_fract_y
_atom_site_fract_z
Cs1 Cs 0.000 0.000 0.000
As1 As 0.000 0.500 0.500
Ru1 Ru 0.500 0.500 0.500
Se1 Se 0.500 0.500 0.000
```

[6]
Below is a relaxed structure of CsV2AsRu, with properties calculated at the PBE level.

Results
Formation energy ... 12.9 eV/f.u.

```
data_CsV2AsRu
_cell_length_a 5.046
_cell_length_b 5.046
_cell_length_c 4.851
_cell_angle_alpha 90.00
_cell_angle_beta 90.00
_cell_angle_gamma 90.00
_space_group_name_H-M_alt 'P 4/m m m'
_space_group_IT_number 123
_space_group_name_Hall '-P 4 2'
loop_
_atom_site_label
_atom_site_type_symbol
_atom_site_fract_x
_atom_site_fract_y
_atom_site_fract_z
Cs1 Cs 0.000 0.000 0.000
V1 V 0.000 0.500 0.000
As1 As 0.500 0.500 0.500
Ru1 Ru 0.000 0.000 0.500
```

[7]
Below is a relaxed structure of CsAsS, with properties calculated at the PBE level.

Results
ΔE to the lowest computed polymorph ... 0 meV/atom
Raw formation energy ... -2.0 eV/f.u.

```
data_CsAsS
_cell_length_a 4.141
_cell_length_b 6.733
_cell_length_c 8.130
_cell_angle_alpha 75.63
_cell_angle_beta 89.98
_cell_angle_gamma 72.11
_space_group_name_H-M_alt 'P -1'
_space_group_IT_number 2
_space_group_name_Hall '-P 1'
loop_
_atom_site_label
_atom_site_type_symbol
_atom_site_fract_x
_atom_site_fract_y
_atom_site_fract_z
Cs1 Cs 0.090 0.319 0.319
As1 As 0.317 0.865 0.032
S1 S 0.366 0.768 0.313
```

[8]
Below is a relaxed structure of CsAsS3, with properties calculated at the PBE level.

Results
Raw formation energy ... -2.3 eV/f.u.

```
data_CsAsS3
_cell_length_a 6.458
_cell_length_b 5.515
_cell_length_c 9.996
_cell_angle_alpha 90.00
_cell_angle_beta 103.44
_cell_angle_gamma 90.00
_space_group_name_H-M_alt 'P 1 21/m 1'
_space_group_IT_number 11
_space_group_name_Hall '-P 2yb'
loop_
_atom_site_label
_atom_site_type_symbol
_atom_site_fract_x
_atom_site_fract_y
_atom_site_fract_z
Cs1 Cs 0.207 0.250 0.270
As1 As 0.354 0.250 0.876
S1 S 0.267 0.059 0.657
S2 S 0.302 0.750 0.056
```